Entry from Alexandria: crystalline RbMnFeF6 at its relaxed geometry (GGA+U). Values from VASP.

```
&SYSTEM
  ibrav = 0, nat = 9, ntyp = 4
/
ATOMIC_SPECIES
Rb 85.47 Rb.upf
Mn 54.94 Mn.upf
Fe 55.84 Fe.upf
F 19.00 F.upf
CELL_PARAMETERS angstrom
5.4388 0.0000 0.0000
-2.7070 4.7426 0.0000
-0.0052 -0.0042 6.0326
ATOMIC_POSITIONS crystal
Rb 0.0000 0.0000 0.0000
Mn 0.6666 0.3325 0.5000
Fe 0.3343 0.6665 0.5001
F 0.3870 0.3638 0.3231
F 0.3906 0.0194 0.6800
F 0.6318 0.0212 0.3220
F 0.6358 0.6046 0.6818
F 0.9744 0.6076 0.3179
F 0.9806 0.3634 0.6752
```

Properties
Its space group is P1. The calculated total energy comes out at -47.26 eV/cell.